DFT (PBE) results for Pm7Tm3Sc after structural relaxation.

a = 7.090 Å, b = 7.090 Å, c = 8.589 Å
α = 90.00°, β = 90.00°, γ = 120.00°
Sites, in units of the cell vectors:
Pm1 0.000 0.000 0.000
Pm2 0.166 0.331 0.334
Pm3 0.166 0.834 0.334
Pm4 0.502 0.003 0.991
Pm5 0.502 0.498 0.991
Pm6 0.669 0.834 0.334
Pm7 0.997 0.498 0.991
Tm1 0.337 0.168 0.658
Tm2 0.832 0.168 0.658
Tm3 0.832 0.663 0.658
Sc1 0.667 0.333 0.325

The value obtained for the energy above the most stable polymorph in this dataset is 6.1 kJ per mole of atoms. For the formation energy, the calculation gives 18.5 kJ/mol of atoms. For the raw total energy, the calculation gives -4.63 eV/atom. Its symmetry is P3m1 (156).